1.
First-principles (PBE) data for a geometry-optimized CaYMn2As structure, as listed in Alexandria.

Cell lengths 4.411, 4.411, 5.349 Å; angles 90.00, 90.00, 90.00 degrees
Fractional coordinates of all 5 atoms:
Ca 0.000 0.000 0.000
Y 0.500 0.500 0.500
Mn 0.000 0.500 0.000
Mn 0.500 0.000 0.000
As 0.000 0.000 0.500

Results
Volume = 104.1 Å³/cell
Formation energy from the elements = 1.359 eV per atom



2.
First-principles (PBE) data for a geometry-optimized CaMo2As structure, as listed in Alexandria.

Cell lengths 5.170, 5.170, 5.062 Å; angles 102.35, 102.35, 37.32 degrees
Fractional coordinates of all 4 atoms:
Ca 0.000 0.000 0.000
Mo 0.225 0.225 0.660
Mo 0.775 0.775 0.340
As 0.500 0.500 0.500

Results
Volume = 79.9 Å³/cell
Formation energy from the elements = 0.209 eV per atom



3.
First-principles (PBE) data for a geometry-optimized CaMo2As structure, as listed in Alexandria.

Cell lengths 3.407, 3.407, 6.651 Å; angles 90.00, 90.00, 90.00 degrees
Fractional coordinates of all 4 atoms:
Ca 0.000 0.000 0.000
Mo 0.500 0.500 0.320
Mo 0.500 0.500 0.680
As 0.000 0.000 0.500

Results
Volume = 77.2 Å³/cell
Formation energy from the elements = 0.294 eV per atom



4.
First-principles (PBE) data for a geometry-optimized Ca2MoAs structure, as listed in Alexandria.

Cell lengths 4.257, 6.020, 6.020 Å; angles 41.51, 90.00, 90.00 degrees
Fractional coordinates of all 4 atoms:
Ca 0.000 0.000 0.000
Ca 0.500 0.295 0.295
Mo 0.000 0.700 0.700
As 0.500 0.591 0.591

Results
Volume = 102.3 Å³/cell
Formation energy from the elements = -0.079 eV per atom



5.
First-principles (PBE) data for a geometry-optimized CaMo2As structure, as listed in Alexandria.

Cell lengths 4.481, 4.481, 6.214 Å; angles 99.79, 99.79, 43.27 degrees
Fractional coordinates of all 4 atoms:
Ca 0.000 0.000 0.000
Mo 0.223 0.223 0.637
Mo 0.489 0.489 0.493
As 0.751 0.751 0.309

Results
Volume = 84.1 Å³/cell
Formation energy from the elements = 0.104 eV per atom



6.
First-principles (PBE) data for a geometry-optimized CaMoAs structure, as listed in Alexandria.

Cell lengths 4.492, 4.492, 4.492 Å; angles 60.00, 60.00, 60.00 degrees
Fractional coordinates of all 3 atoms:
Ca 0.000 0.000 0.000
Mo 0.500 0.500 0.500
As 0.750 0.750 0.750

Results
Volume = 64.1 Å³/cell
Formation energy from the elements = 0.140 eV per atom



7.
First-principles (PBE) data for a geometry-optimized Ca2MoAs structure, as listed in Alexandria.

Cell lengths 3.436, 3.436, 8.431 Å; angles 90.00, 90.00, 90.00 degrees
Fractional coordinates of all 4 atoms:
Ca 0.000 0.000 0.000
Ca 0.500 0.500 0.394
Mo 0.000 0.000 0.644
As 0.500 0.500 0.762

Results
Volume = 99.5 Å³/cell
Formation energy from the elements = -0.136 eV per atom



8.
First-principles (PBE) data for a geometry-optimized CaMoAs2 structure, as listed in Alexandria.

Cell lengths 5.152, 5.152, 5.152 Å; angles 137.99, 115.40, 80.10 degrees
Fractional coordinates of all 4 atoms:
Ca 0.000 0.000 0.000
Mo 0.500 0.500 0.000
As 0.274 0.774 0.500
As 0.726 0.226 0.500

Results
Volume = 80.2 Å³/cell
Polymorph energy (0 for the lowest one) = 289 meV per atom
Formation energy from the elements = -0.195 eV per atom



9.
First-principles (PBE) data for a geometry-optimized CaMoAs2 structure, as listed in Alexandria.

Cell lengths 7.511, 7.511, 7.511 Å; angles 28.02, 28.02, 28.02 degrees
Fractional coordinates of all 4 atoms:
Ca 0.000 0.000 0.000
Mo 0.172 0.172 0.172
As 0.574 0.574 0.574
As 0.766 0.766 0.766

Results
Volume = 82.6 Å³/cell
Polymorph energy (0 for the lowest one) = 31 meV per atom
Formation energy from the elements = -0.453 eV per atom



10.
First-principles (PBE) data for a geometry-optimized Ca2MoAs structure, as listed in Alexandria.

Cell lengths 4.946, 4.946, 4.946 Å; angles 60.00, 60.00, 60.00 degrees
Fractional coordinates of all 4 atoms:
Ca 0.000 0.000 0.000
Ca 0.250 0.250 0.250
Mo 0.750 0.750 0.750
As 0.500 0.500 0.500

Results
Volume = 85.6 Å³/cell
Formation energy from the elements = 0.309 eV per atom



11.
First-principles (PBE) data for a geometry-optimized Ca2MoAs structure, as listed in Alexandria.

Cell lengths 3.886, 3.886, 6.158 Å; angles 90.00, 90.00, 90.00 degrees
Fractional coordinates of all 4 atoms:
Ca 0.000 0.000 0.237
Ca 0.000 0.000 0.763
Mo 0.500 0.500 0.500
As 0.500 0.500 0.000

Results
Volume = 93.0 Å³/cell
Formation energy from the elements = 0.153 eV per atom



12.
First-principles (PBE) data for a geometry-optimized Ca2MoAs structure, as listed in Alexandria.

Cell lengths 5.941, 5.941, 5.251 Å; angles 111.79, 111.79, 34.34 degrees
Fractional coordinates of all 4 atoms:
Ca 0.000 0.000 0.000
Ca 0.198 0.198 0.659
Mo 0.403 0.403 0.407
As 0.742 0.742 0.189

Results
Volume = 96.3 Å³/cell
Formation energy from the elements = -0.020 eV per atom